1.
Compound: SmHo5Er2
Source: the Alexandria database
Functional: PBE
Structure: relaxed

Values from the calculation:
For the energy above the most stable polymorph in this dataset, the calculation gives 1.01 eV per formula unit.

abc: 8.579 8.579 11.379
angles: 90.00 90.00 141.88
Sites, in units of the cell vectors:
Sm1 0.227 0.773 0.750
Sm2 0.773 0.227 0.250
Ho1 0.044 0.956 0.612
Ho2 0.044 0.956 0.888
Ho3 0.396 0.604 0.250
Ho4 0.413 0.587 0.578
Ho5 0.413 0.587 0.922
Ho6 0.587 0.413 0.078
Ho7 0.587 0.413 0.422
Ho8 0.604 0.396 0.750
Ho9 0.956 0.044 0.112
Ho10 0.956 0.044 0.388
Er1 0.213 0.787 0.080
Er2 0.213 0.787 0.420
Er3 0.787 0.213 0.580
Er4 0.787 0.213 0.920



2.
Compound: Tb2MnAl3
Source: the Alexandria database
Functional: PBE
Structure: relaxed

Values from the calculation:
The calculation puts the total energy at -32.1 eV/f.u.

abc: 5.469 5.469 5.469
angles: 61.44 61.44 61.44
Sites, in units of the cell vectors:
Tb1 0.126 0.126 0.126
Tb2 0.874 0.874 0.874
Mn1 0.500 0.500 0.500
Al1 0.000 0.500 0.500
Al2 0.500 0.000 0.500
Al3 0.500 0.500 0.000